No. 1
Computed, not measured: LaDyZnOs after structural relaxation at the GGA-PBE level of DFT.

a = 5.036 Å, b = 5.036 Å, c = 5.036 Å
α = 60.00°, β = 60.00°, γ = 60.00°
Sites, in units of the cell vectors:
La  0.250  0.250  0.250
Os  0.000  0.000  0.000
Dy  0.750  0.750  0.750
Zn  0.500  0.500  0.500

## Properties
SG: F-43m
Formation enthalpy at 0 K in eV/atom: -0.172

=====

No. 2
Computed, not measured: LaDy3P4 after structural relaxation at the GGA-PBE level of DFT.

a = 4.078 Å, b = 7.058 Å, c = 7.058 Å
α = 70.59°, β = 90.00°, γ = 90.00°
Sites, in units of the cell vectors:
La  0.500  0.500  0.000
P  0.500  0.246  0.745
P  0.000  0.760  0.741
P  0.500  0.755  0.254
Dy  0.000  0.500  0.500
P  0.000  0.241  0.259
Dy  0.500  0.000  0.500
Dy  0.000  0.000  0.000

## Properties
SG: Cmmm
Formation enthalpy at 0 K in eV/atom: -1.586

=====

No. 3
Computed, not measured: LaDy5P6 after structural relaxation at the GGA-PBE level of DFT.

a = 7.022 Å, b = 7.022 Å, c = 7.021 Å
α = 99.60°, β = 99.60°, γ = 120.00°
Sites, in units of the cell vectors:
P  0.915  0.574  0.745
P  0.574  0.915  0.745
La  0.000  0.000  0.000
P  0.085  0.426  0.255
Dy  0.165  0.835  0.500
P  0.744  0.744  0.254
P  0.426  0.085  0.255
Dy  0.667  0.333  0.000
P  0.256  0.256  0.746
Dy  0.835  0.165  0.500
Dy  0.333  0.667  0.000
Dy  0.500  0.500  0.500

## Properties
SG: C2/m
Formation enthalpy at 0 K in eV/atom: -1.594

=====

No. 4
Computed, not measured: La3DyP4 after structural relaxation at the GGA-PBE level of DFT.

a = 7.292 Å, b = 7.291 Å, c = 8.430 Å
α = 90.00°, β = 90.00°, γ = 109.51°
Sites, in units of the cell vectors:
La  0.250  0.000  0.627
La  0.750  0.000  0.373
La  0.750  0.500  0.124
P  0.006  0.754  0.370
La  0.250  0.500  0.876
La  0.250  0.500  0.373
Dy  0.250  0.000  0.123
P  0.494  0.246  0.370
P  0.001  0.240  0.120
La  0.750  0.500  0.627
Dy  0.750  0.000  0.877
P  0.999  0.760  0.880
P  0.506  0.754  0.630
P  0.499  0.760  0.120
P  0.501  0.240  0.880
P  0.994  0.246  0.630

## Properties
SG: P2/c
Formation enthalpy at 0 K in eV/atom: -1.568